No. 1
A relaxed Hg2C crystal. Source: OQMD via LeMat-Bulk, functional GGA-PBE.

a = 6.947 Å, b = 6.947 Å, c = 6.947 Å
α = 60.00°, β = 60.00°, γ = 60.00°
Positions (direct):
Hg (0.375, 0.375, 0.375)
Hg (0.375, 0.375, 0.875)
Hg (0.875, 0.375, 0.375)
Hg (0.375, 0.875, 0.375)
C (0.500, 0.500, 0.500)
C (0.250, 0.250, 0.250)

## Properties
Crystal system: cubic
SG: No. 227
E above lowest polymorph, meV per atom: 0
Mass density, Mg/m³: 5.788

=====

No. 2
A relaxed LiTlFeHg crystal. Source: OQMD via LeMat-Bulk, functional GGA-PBE.

a = 4.686 Å, b = 4.686 Å, c = 4.686 Å
α = 60.00°, β = 60.00°, γ = 60.00°
Positions (direct):
Tl (0.000, 0.000, 0.000)
Fe (0.750, 0.750, 0.750)
Li (0.250, 0.250, 0.250)
Hg (0.500, 0.500, 0.500)

## Properties
Crystal system: cubic
SG: No. 216
E above lowest polymorph, meV per atom: 0
Mass density, Mg/m³: 10.679

=====

No. 3
A relaxed LiMg2Au crystal. Source: OQMD via LeMat-Bulk, functional GGA-PBE.

a = 4.532 Å, b = 4.532 Å, c = 9.573 Å
α = 90.00°, β = 90.00°, γ = 120.00°
Positions (direct):
Mg (0.667, 0.333, 0.087)
Mg (0.667, 0.333, 0.413)
Mg (0.333, 0.667, 0.913)
Mg (0.333, 0.667, 0.587)
Au (0.000, 0.000, 0.000)
Au (0.000, 0.000, 0.500)
Li (0.667, 0.333, 0.750)
Li (0.333, 0.667, 0.250)

## Properties
Crystal system: hexagonal
SG: No. 194
Mass density, Mg/m³: 4.924

=====

Q: Which total energy values were calculated for the entries above? A: -7.16 -12.22 -9.31, in eV/f.u..